A relaxed structure of La2Pr7Cd. Source: the Alexandria database, functional PBE.

## Properties
crystal system: monoclinic
raw total energy: -43.8 eV for the cell shown
formation energy: 0.04 eV/atom
M_tot: 0.000 μB per atom
calculated volume: 348 Å³/cell

Cell: 3.6776 15.4824 15.4824 Å, 156.77 89.93 89.93°
Fractional positions:
Pr (0.5000, 0.5000, 0.5000)
Pr (0.7871, 0.8458, 0.6514)
Pr (0.7871, 0.6514, 0.8458)
Pr (0.0000, 0.7054, 0.2946)
Pr (0.0000, 0.2946, 0.7054)
Pr (0.2129, 0.3486, 0.1542)
Pr (0.2129, 0.1542, 0.3486)
Cd (0.0000, 0.0000, 0.0000)
La (0.5000, 0.8085, 0.1915)
La (0.5000, 0.1915, 0.8085)